A plane-wave DFT calculation with GGA-PBE was carried out for crystalline Tc2WSe at its relaxed geometry.

Calculated values
* crystal system: orthorhombic
* total magnetic moment: 0.0 μB/f.u.
* total DFT energy (no corrections): -36.152 eV/f.u.
* E_form (uncorrected): 255 meV per atom
* DOS at the Fermi energy: 0.8903 states/eV per atom

a b c (Å): 2.980 4.484 8.978
angles (deg): 90.00 90.00 90.00
Fractional coordinates of all 8 atoms:
Tc: 0.000 0.000 0.224
Tc: 0.000 0.000 0.776
Tc: 0.500 0.500 0.276
Tc: 0.500 0.500 0.724
W: 0.000 0.500 0.000
W: 0.500 0.000 0.500
Se: 0.000 0.500 0.500
Se: 0.500 0.000 0.000